(1)
DFT (PBE-GGA) results for a relaxed Pa2TlTc crystal.

Its energy above the most stable polymorph in this dataset is 0.0000 eV per atom. The formation energy is -0.115 eV per atom. The total energy is -8.05 eV per atom.

The space group is P4/mmm (No. 123) and the conventional cell measures 3.2218, 3.2218 and 8.8951 Å, with angles of 90.00, 90.00 and 90.00 degrees. The distinct sites, in fractional coordinates, are Pa at (0.0000, 0.0000, 0.2078), Tl at (0.5000, 0.5000, 0.5000) and Tc at (0.5000, 0.5000, 0.0000).

***

(2)
DFT (PBE-GGA) results for a relaxed Pa2TlTc crystal.

Its energy above the most stable polymorph in this dataset is 0.3751 eV per atom. The formation energy is 0.260 eV per atom. The total energy is -7.67 eV per atom.

The space group is R-3m (No. 166, hexagonal axes) and the conventional cell measures 4.7158, 4.7158 and 15.1063 Å, with angles of 90.00, 90.00 and 120.00 degrees. The distinct sites, in fractional coordinates, are Pa at (0.0000, 0.0000, 0.2342), Tl at (0.0000, 0.0000, 0.0000) and Tc at (0.0000, 0.0000, 0.5000).

***

(3)
DFT (PBE-GGA) results for a relaxed PaTlTc2 crystal.

Its energy above the most stable polymorph in this dataset is 0.0000 eV per atom. The formation energy is 0.044 eV per atom. The total energy is -8.10 eV per atom.

The space group is P4/mmm (No. 123) and the conventional cell measures 4.5523, 4.5523 and 3.6432 Å, with angles of 90.00, 90.00 and 90.00 degrees. The distinct sites, in fractional coordinates, are Pa at (0.0000, 0.0000, 0.0000), Tl at (0.5000, 0.5000, 0.0000) and Tc at (0.0000, 0.5000, 0.5000).

***

(4)
DFT (PBE-GGA) results for a relaxed PaTlTc crystal.

The formation energy is 0.187 eV per atom. The total energy is -7.22 eV per atom.

The space group is R-3m (No. 166, hexagonal axes) and the conventional cell measures 4.3885, 4.3885 and 27.9976 Å, with angles of 90.00, 90.00 and 120.00 degrees. The distinct sites, in fractional coordinates, are Pa at (0.0000, 0.0000, 0.2118), Tl at (0.0000, 0.0000, 0.3713) and Tc at (0.0000, 0.0000, 0.1062).

***

(5)
DFT (PBE-GGA) results for a relaxed Pa2TlTc crystal.

Its energy above the most stable polymorph in this dataset is 0.2502 eV per atom. The formation energy is 0.135 eV per atom. The total energy is -7.80 eV per atom.

The space group is P4/mmm (No. 123) and the conventional cell measures 4.4668, 4.4668 and 4.4309 Å, with angles of 90.00, 90.00 and 90.00 degrees. The distinct sites, in fractional coordinates, are Pa at (0.0000, 0.5000, 0.0000), Tl at (0.0000, 0.0000, 0.5000) and Tc at (0.5000, 0.5000, 0.5000).

***

(6)
DFT (PBE-GGA) results for a relaxed PaTlTc2 crystal.

Its energy above the most stable polymorph in this dataset is 0.1186 eV per atom. The formation energy is 0.162 eV per atom. The total energy is -7.99 eV per atom.

The space group is Fm-3m (No. 225) and the conventional cell measures 6.7378, 6.7378 and 6.7378 Å, with angles of 90.00, 90.00 and 90.00 degrees. The distinct sites, in fractional coordinates, are Pa at (0.0000, 0.0000, 0.0000), Tl at (0.0000, 0.0000, 0.5000) and Tc at (0.2500, 0.2500, 0.2500).

***

(7)
DFT (PBE-GGA) results for a relaxed Tm2Pa2Tc3 crystal.

Its energy above the most stable polymorph in this dataset is 0.0449 eV per atom. The formation energy is -0.217 eV per atom. The total energy is -8.65 eV per atom.

The space group is P-1 (No. 2) and the conventional cell measures 4.6040, 4.6105 and 8.6196 Å, with angles of 103.76, 93.24 and 116.54 degrees. The distinct sites, in fractional coordinates, are Tm at (0.1304, 0.2547, 0.3853), Pa at (0.3834, 0.7583, 0.1420), Tc at (0.0000, 0.0000, 0.0000) and Tc at (0.2743, 0.5063, 0.7805).

***

(8)
DFT (PBE-GGA) results for a relaxed TmPa2Tc2 crystal.

The formation energy is -0.185 eV per atom. The total energy is -9.02 eV per atom.

The space group is P2_1/m (No. 11) and the conventional cell measures 3.4741, 5.2478 and 11.8928 Å, with angles of 90.00, 98.42 and 90.00 degrees. The distinct sites, in fractional coordinates, are Tm at (0.1429, 0.2500, 0.2843), Pa at (0.0497, 0.7500, 0.0999), Pa at (0.2344, 0.7500, 0.4713), Tc at (0.3582, 0.2500, 0.7159) and Tc at (0.4618, 0.7500, 0.9232).

***

(9)
DFT (PBE-GGA) results for a relaxed TmPa2Tc9 crystal.

The formation energy is -0.076 eV per atom. The total energy is -9.81 eV per atom.

The space group is R-3m (No. 166, hexagonal axes) and the conventional cell measures 5.1882, 5.1882 and 27.5269 Å, with angles of 90.00, 90.00 and 120.00 degrees. The distinct sites, in fractional coordinates, are Tm at (0.0000, 0.0000, 0.0000), Pa at (0.0000, 0.0000, 0.1463), Tc at (0.0000, 0.0000, 0.3362), Tc at (0.0000, 0.0000, 0.5000) and Tc at (0.0055, 0.5028, 0.9185).

***

(10)
DFT (PBE-GGA) results for a relaxed TmPa3Tc4 crystal.

The formation energy is -0.221 eV per atom. The total energy is -9.52 eV per atom.

The space group is R-3m (No. 166, hexagonal axes) and the conventional cell measures 4.9630, 4.9630 and 22.8774 Å, with angles of 90.00, 90.00 and 120.00 degrees. The distinct sites, in fractional coordinates, are Tm at (0.0000, 0.0000, 0.0000), Pa at (0.0000, 0.0000, 0.2529), Pa at (0.0000, 0.0000, 0.5000), Tc at (0.0000, 0.0000, 0.1316) and Tc at (0.0000, 0.0000, 0.3838).

***

(11)
DFT (PBE-GGA) results for a relaxed TmPa2Tc4 crystal.

The formation energy is 0.140 eV per atom. The total energy is -9.14 eV per atom.

The space group is R-3m (No. 166, hexagonal axes) and the conventional cell measures 4.5150, 4.5150 and 24.2624 Å, with angles of 90.00, 90.00 and 120.00 degrees. The distinct sites, in fractional coordinates, are Tm at (0.0000, 0.0000, 0.0000), Pa at (0.0000, 0.0000, 0.2374), Tc at (0.0000, 0.0000, 0.1149) and Tc at (0.0000, 0.0000, 0.3806).

***

(12)
DFT (PBE-GGA) results for a relaxed Tm2Pa2Tc3 crystal.

Its energy above the most stable polymorph in this dataset is 0.0000 eV per atom. The formation energy is -0.262 eV per atom. The total energy is -8.70 eV per atom.

The space group is C2/m (No. 12) and the conventional cell measures 13.4975, 3.4779 and 8.0453 Å, with angles of 90.00, 124.15 and 90.00 degrees. The distinct sites, in fractional coordinates, are Tm at (0.1011, 0.0000, 0.2848), Pa at (0.1805, 0.0000, 0.7744), Tc at (0.0000, 0.5000, 0.5000) and Tc at (0.1089, 0.5000, 0.9822).

***

(13)
DFT (PBE-GGA) results for a relaxed Tm2PaTc crystal.

The formation energy is -0.202 eV per atom. The total energy is -7.40 eV per atom.

The space group is Pnma (No. 62) and the conventional cell measures 7.0547, 9.4962 and 6.1993 Å, with angles of 90.00, 90.00 and 90.00 degrees. The distinct sites, in fractional coordinates, are Tm at (0.1759, 0.0630, 0.1689), Pa at (0.0492, 0.2500, 0.6555) and Tc at (0.1378, 0.7500, 0.9935).

***

(14)
DFT (PBE-GGA) results for a relaxed TmPaZnTc crystal.

The formation energy is -0.121 eV per atom. The total energy is -6.52 eV per atom.

The space group is F-43m (No. 216) and the conventional cell measures 6.9290, 6.9290 and 6.9290 Å, with angles of 90.00, 90.00 and 90.00 degrees. The distinct sites, in fractional coordinates, are Tm at (0.0000, 0.0000, 0.0000), Pa at (0.0000, 0.0000, 0.5000), Zn at (0.2500, 0.2500, 0.7500) and Tc at (0.2500, 0.2500, 0.2500).

***

(15)
DFT (PBE-GGA) results for a relaxed UPaTc2 crystal.

Its energy above the most stable polymorph in this dataset is 0.0000 eV per atom. The formation energy is -0.057 eV per atom. The total energy is -10.44 eV per atom.

The space group is P4/mmm (No. 123) and the conventional cell measures 3.3065, 3.3065 and 7.1634 Å, with angles of 90.00, 90.00 and 90.00 degrees. The distinct sites, in fractional coordinates, are U at (0.0000, 0.0000, 0.0000), Pa at (0.0000, 0.0000, 0.5000) and Tc at (0.5000, 0.5000, 0.2112).

***

(16)
DFT (PBE-GGA) results for a relaxed UPaTc3 crystal.

The formation energy is 0.350 eV per atom. The total energy is -10.03 eV per atom.

The space group is Cmcm (No. 63) and the conventional cell measures 7.0352, 10.3212 and 5.5240 Å, with angles of 90.00, 90.00 and 90.00 degrees. The distinct sites, in fractional coordinates, are U at (0.0000, 0.0000, 0.0000), Pa at (0.0000, 0.3048, 0.2500), Tc at (0.0000, 0.2385, 0.7500) and Tc at (0.2060, 0.4426, 0.7500).

***

(17)
DFT (PBE-GGA) results for a relaxed UPa6Tc5 crystal.

Its energy above the most stable polymorph in this dataset is 0.0309 eV per atom. The formation energy is -0.112 eV per atom. The total energy is -10.12 eV per atom.

The space group is Immm (No. 71) and the conventional cell measures 5.3454, 8.5405 and 10.6536 Å, with angles of 90.00, 90.00 and 90.00 degrees. The distinct sites, in fractional coordinates, are U at (0.0000, 0.0000, 0.0000), Pa at (0.0000, 0.2301, 0.5000), Pa at (0.0000, 0.2653, 0.1656), Tc at (0.0000, 0.0000, 0.3127), Tc at (0.0000, 0.5000, 0.0000) and Tc at (0.0000, 0.5000, 0.3532).

***

(18)
DFT (PBE-GGA) results for a relaxed U2Pa3Tc7 crystal.

The formation energy is -0.141 eV per atom. The total energy is -10.44 eV per atom.

The space group is R-3m (No. 166, hexagonal axes) and the conventional cell measures 5.7531, 5.7531 and 23.9616 Å, with angles of 90.00, 90.00 and 120.00 degrees. The distinct sites, in fractional coordinates, are U at (0.0000, 0.0000, 0.1657), Pa at (0.0000, 0.0000, 0.3569), Pa at (0.0000, 0.0000, 0.5000), Tc at (0.0000, 0.0000, 0.0000) and Tc at (0.0034, 0.5017, 0.4166).

***

(19)
DFT (PBE-GGA) results for a relaxed UPaTc4 crystal.

The formation energy is -0.053 eV per atom. The total energy is -10.43 eV per atom.

The space group is F-43m (No. 216) and the conventional cell measures 7.5674, 7.5674 and 7.5674 Å, with angles of 90.00, 90.00 and 90.00 degrees. The distinct sites, in fractional coordinates, are U at (0.0000, 0.0000, 0.0000), Pa at (0.2500, 0.2500, 0.2500) and Tc at (0.1250, 0.1250, 0.6250).

***

(20)
DFT (PBE-GGA) results for a relaxed UPaTc crystal.

Its energy above the most stable polymorph in this dataset is 0.1907 eV per atom. The formation energy is 0.035 eV per atom. The total energy is -10.35 eV per atom.

The space group is C2/m (No. 12) and the conventional cell measures 7.8291, 5.0702 and 6.7997 Å, with angles of 90.00, 105.53 and 90.00 degrees. The distinct sites, in fractional coordinates, are U at (0.1492, 0.0000, 0.4483), Pa at (0.2229, 0.5000, 0.1288) and Tc at (0.0608, 0.5000, 0.7033).

***

(21)
DFT (PBE-GGA) results for a relaxed UPaTc crystal.

Its energy above the most stable polymorph in this dataset is 0.0708 eV per atom. The formation energy is -0.085 eV per atom. The total energy is -10.47 eV per atom.

The space group is I4mm (No. 107) and the conventional cell measures 3.4738, 3.4738 and 9.7789 Å, with angles of 90.00, 90.00 and 90.00 degrees. The distinct sites, in fractional coordinates, are U at (0.0000, 0.0000, 0.0000), Pa at (0.0000, 0.0000, 0.6549) and Tc at (0.0000, 0.0000, 0.3333).

***

(22)
DFT (PBE-GGA) results for a relaxed UPaTc2 crystal.

Its energy above the most stable polymorph in this dataset is 0.0250 eV per atom. The formation energy is -0.032 eV per atom. The total energy is -10.41 eV per atom.

The space group is Fm-3m (No. 225) and the conventional cell measures 6.8131, 6.8131 and 6.8131 Å, with angles of 90.00, 90.00 and 90.00 degrees. The distinct sites, in fractional coordinates, are U at (0.0000, 0.0000, 0.0000), Pa at (0.0000, 0.0000, 0.5000) and Tc at (0.2500, 0.2500, 0.2500).

***

(23)
DFT (PBE-GGA) results for a relaxed U2PaTc3 crystal.

The formation energy is 0.008 eV per atom. The total energy is -10.52 eV per atom.

The space group is P6/mmm (No. 191) and the conventional cell measures 5.8209, 5.8209 and 4.1297 Å, with angles of 90.00, 90.00 and 120.00 degrees. The distinct sites, in fractional coordinates, are U at (0.3333, 0.6667, 0.0000), Pa at (0.0000, 0.0000, 0.0000) and Tc at (0.0000, 0.5000, 0.5000).

***

(24)
DFT (PBE-GGA) results for a relaxed UPaTc2 crystal.

Its energy above the most stable polymorph in this dataset is 0.3590 eV per atom. The formation energy is 0.302 eV per atom. The total energy is -10.08 eV per atom.

The space group is R-3m (No. 166, hexagonal axes) and the conventional cell measures 3.0366, 3.0366 and 29.1761 Å, with angles of 90.00, 90.00 and 120.00 degrees. The distinct sites, in fractional coordinates, are U at (0.0000, 0.0000, 0.0000), Pa at (0.0000, 0.0000, 0.5000) and Tc at (0.0000, 0.0000, 0.0811).

***

(25)
DFT (PBE-GGA) results for a relaxed UPaTc crystal.

Its energy above the most stable polymorph in this dataset is 0.3344 eV per atom. The formation energy is 0.178 eV per atom. The total energy is -10.21 eV per atom.

The space group is P3m1 (No. 156) and the conventional cell measures 3.0880, 3.0880 and 7.3286 Å, with angles of 90.00, 90.00 and 120.00 degrees. The distinct sites, in fractional coordinates, are U at (0.0000, 0.0000, 0.0000), Pa at (0.0000, 0.0000, 0.3813) and Tc at (0.6667, 0.3333, 0.7049).

***

(26)
DFT (PBE-GGA) results for a relaxed UPaTc crystal.

Its energy above the most stable polymorph in this dataset is 0.0000 eV per atom. The formation energy is -0.156 eV per atom. The total energy is -10.54 eV per atom.

The space group is P4/nmm (No. 129, origin choice 2) and the conventional cell measures 3.4283, 3.4283 and 10.0831 Å, with angles of 90.00, 90.00 and 90.00 degrees. The distinct sites, in fractional coordinates, are U at (0.2500, 0.2500, 0.0611), Pa at (0.2500, 0.2500, 0.4029) and Tc at (0.2500, 0.2500, 0.7492).